[1]
Computed, not measured: a geometry-optimized CaAc2Pb structure at the PBE level of DFT.

Lattice parameters (Å, degrees): 5.998 5.998 5.998 60.00 60.00 60.00
Fractional positions:
Pb1 0.500 0.500 0.500
Ac1 0.250 0.250 0.250
Ac2 0.750 0.750 0.750
Ca1 0.000 0.000 0.000

- crystal system = cubic
- DFT formation energy (eV per atom) = -0.1571
- E above lowest polymorph (meV per atom) = 99.7
- symmetry = No. 225

[2]
Computed, not measured: a geometry-optimized Re5Ir structure at the PBE level of DFT.

Lattice parameters (Å, degrees): 5.049 5.049 4.520 90.00 90.00 120.00
Fractional positions:
Re1 0.000 0.500 0.500
Re2 0.333 0.667 0.000
Re3 0.500 0.000 0.500
Re4 0.500 0.500 0.500
Re5 0.667 0.333 0.000
Ir1 0.000 0.000 0.000

- crystal system = hexagonal
- DFT formation energy (eV per atom) = 0.7239
- E above lowest polymorph (meV per atom) = 841.5
- symmetry = No. 191

[3]
Computed, not measured: a geometry-optimized Ca2TiPbO6 structure at the PBE level of DFT.

Lattice parameters (Å, degrees): 5.557 5.759 7.979 90.00 90.16 90.00
Fractional positions:
Ca1 0.015 0.944 0.252
Ca2 0.515 0.556 0.752
Ca3 0.985 0.056 0.748
Ca4 0.485 0.444 0.248
Ti1 0.500 0.000 0.500
Ti2 0.000 0.500 0.000
Pb1 0.500 0.000 0.000
Pb2 0.000 0.500 0.500
O1 0.290 0.687 0.053
O2 0.790 0.813 0.553
O3 0.710 0.313 0.947
O4 0.210 0.187 0.447
O5 0.317 0.714 0.439
O6 0.817 0.786 0.939
O7 0.683 0.286 0.561
O8 0.183 0.214 0.061
O9 0.892 0.542 0.236
O10 0.392 0.958 0.736
O11 0.108 0.458 0.764
O12 0.608 0.042 0.264

- crystal system = monoclinic
- symmetry = No. 14

[4]
Computed, not measured: a geometry-optimized LaNd6Y2Er structure at the PBE level of DFT.

Lattice parameters (Å, degrees): 9.713 9.013 9.013 117.30 93.77 93.77
Fractional positions:
La1 0.250 0.407 0.593
La2 0.750 0.593 0.407
Nd1 0.057 0.110 0.763
Nd2 0.443 0.237 0.890
Nd3 0.943 0.890 0.237
Nd4 0.557 0.763 0.110
Nd5 0.316 0.983 0.434
Nd6 0.184 0.566 0.017
Nd7 0.684 0.017 0.566
Nd8 0.816 0.434 0.983
Nd9 0.119 0.706 0.486
Nd10 0.381 0.514 0.294
Nd11 0.881 0.294 0.514
Nd12 0.619 0.486 0.706
Y1 0.452 0.805 0.710
Y2 0.048 0.290 0.195
Y3 0.548 0.195 0.290
Y4 0.952 0.710 0.805
Er1 0.250 0.967 0.033
Er2 0.750 0.033 0.967

- crystal system = monoclinic
- DFT formation energy (eV per atom) = 0.1157
- symmetry = No. 15

It is found that the E values, taken in the order of the records, are -14.555 -66.758 -139.088 -99.737 eV per cell.
It is found that the total moment values, taken in the order of the records, are 0.06 0.00 0.00 0.00 Bohr magnetons per cell.
It is found that the Fermi-level density of states values, taken in the order of the records, are 1.535 0.596 0.000 1.516 states/eV per atom.